The following is a DFT calculation (PBE-GGA) of a relaxed structure of Li2UPb3S6.

```
data_Li2UPb3S6
_symmetry_space_group_name_H-M 'C 1 2/m 1'
_symmetry_Int_Tables_number 12
_cell_length_a 6.955
_cell_length_b 12.124
_cell_length_c 7.144
_cell_angle_alpha 90.00
_cell_angle_beta 107.95
_cell_angle_gamma 90.00
loop_
_symmetry_equiv_pos_as_xyz
'x,y,z'
'-x,-y,-z'
'-x,y,-z'
'x,-y,z'
'x+1/2,y+1/2,z'
'-x+1/2,-y+1/2,-z'
'-x+1/2,y+1/2,-z'
'x+1/2,-y+1/2,z'
loop_
_atom_site_label
_atom_site_fract_x
_atom_site_fract_y
_atom_site_fract_z
_atom_site_occupancy
Li1 0.000 0.181 0.000 1
U1 0.000 0.500 0.000 1
Pb1 0.000 0.000 0.500 1
Pb2 0.000 0.333 0.500 1
S1 0.237 0.340 0.216 1
S2 0.237 0.500 0.759 1
```

Computed properties:
- DFT total energy: -5.1755 eV per atom
- Crystal system: monoclinic
- ΔE_f (raw): -925 meV/atom